{"formula": "TiVCrPd", "functional": "GGA-PBE", "state": "relaxed", "lattice": [[6.090, 0.000, 0.000], [0.000, 6.090, 0.000], [0.000, 0.000, 6.090]], "species": ["Ti", "Ti", "Ti", "Ti", "V", "V", "V", "V", "Cr", "Cr", "Cr", "Cr", "Pd", "Pd", "Pd", "Pd"], "fractional_positions": [[0.000, 0.000, 0.000], [0.000, 0.500, 0.500], [0.500, 0.000, 0.500], [0.500, 0.500, 0.000], [0.000, 0.000, 0.500], [0.000, 0.500, 0.000], [0.500, 0.000, 0.000], [0.500, 0.500, 0.500], [0.250, 0.250, 0.750], [0.250, 0.750, 0.250], [0.750, 0.250, 0.250], [0.750, 0.750, 0.750], [0.250, 0.250, 0.250], [0.250, 0.750, 0.750], [0.750, 0.250, 0.750], [0.750, 0.750, 0.250]], "rho_g_cm3": 7.57, "ef_ev_per_atom": -0.0991, "space_group": "F-43m, No. 216"}